Entry from the Alexandria database: crystalline RbZrPS6 at its relaxed geometry (PBE).

a = 6.306 Å, b = 6.306 Å, c = 7.608 Å
α = 90.00°, β = 90.00°, γ = 120.00°
Atoms (fractional coordinates):
Rb 0.000 0.000 0.000
Zr 0.333 0.667 0.500
P 0.667 0.333 0.500
S 0.388 0.041 0.670
S 0.388 0.347 0.330
S 0.653 0.041 0.330
S 0.653 0.612 0.670
S 0.959 0.347 0.670
S 0.959 0.612 0.330

Results
formation energy (no corrections): -0.480 eV/atom
total magnetic moment: 0.00 μB/cell
DFT total energy: -44.01 eV per cell



Entry from the Alexandria database: crystalline MnCu3Cl6 at its relaxed geometry (PBE).

a = 7.430 Å, b = 7.430 Å, c = 7.430 Å
α = 94.74°, β = 94.74°, γ = 94.74°
Atoms (fractional coordinates):
Mn 0.000 0.000 0.000
Mn 0.500 0.500 0.500
Cu 0.056 0.600 0.259
Cu 0.259 0.056 0.600
Cu 0.400 0.741 0.944
Cu 0.600 0.259 0.056
Cu 0.741 0.944 0.400
Cu 0.944 0.400 0.741
Cl 0.074 0.690 0.881
Cl 0.119 0.926 0.310
Cl 0.198 0.362 0.565
Cl 0.310 0.119 0.926
Cl 0.362 0.565 0.198
Cl 0.435 0.802 0.638
Cl 0.565 0.198 0.362
Cl 0.638 0.435 0.802
Cl 0.690 0.881 0.074
Cl 0.802 0.638 0.435
Cl 0.881 0.074 0.690
Cl 0.926 0.310 0.119

Results
formation energy (no corrections): -0.584 eV/atom
total magnetic moment: 7.95 μB/cell
DFT total energy: -76.75 eV per cell



Entry from the Alexandria database: crystalline CaCdH6Ir2 at its relaxed geometry (PBE).

a = 5.977 Å, b = 5.977 Å, c = 5.977 Å
α = 46.48°, β = 46.48°, γ = 46.48°
Atoms (fractional coordinates):
Ca 0.000 0.000 0.000
Cd 0.500 0.500 0.500
H 0.013 0.577 0.577
H 0.423 0.423 0.987
H 0.423 0.987 0.423
H 0.577 0.013 0.577
H 0.577 0.577 0.013
H 0.987 0.423 0.423
Ir 0.208 0.208 0.208
Ir 0.792 0.792 0.792

Results
total magnetic moment: 0.00 μB/cell
DFT total energy: -42.60 eV per cell



Entry from the Alexandria database: crystalline Mg2GaAsO6 at its relaxed geometry (PBE).

a = 5.004 Å, b = 5.004 Å, c = 4.759 Å
α = 90.00°, β = 90.00°, γ = 90.00°
Atoms (fractional coordinates):
Mg 0.000 0.500 0.000
Mg 0.500 0.000 0.000
Ga 0.000 0.000 0.593
As 0.500 0.500 0.632
O 0.000 0.000 0.216
O 0.257 0.257 0.765
O 0.257 0.743 0.765
O 0.500 0.500 0.272
O 0.743 0.257 0.765
O 0.743 0.743 0.765

Results
formation energy (no corrections): -1.756 eV/atom
total magnetic moment: 0.00 μB/cell
DFT total energy: -58.18 eV per cell



Question: Number 4 is which compound?
Answer: Mg2GaAsO6



Question: Which of these has the highest DFT total energy?
Answer: CaCdH6Ir2



Question: Which value of DFT total energy does entry 3 give?
Answer: -42.60 eV per cell